A plane-wave DFT calculation with PBE was carried out for an optimized crystal structure of Tb2CeAlRu2.

```
Tb2CeAlRu2
1.0
-3.2420 6.4731 3.2874
3.2420 -6.4731 3.2874
3.2420 6.4731 -3.2874
Tb Ce Al Ru
4 2 2 4
Direct
0.1848 0.1660 0.3508
0.3152 0.6660 0.9812
0.6848 0.3340 0.0188
0.8152 0.8340 0.6492
0.2500 0.7500 0.5000
0.7500 0.2500 0.5000
0.2500 0.2500 0.0000
0.7500 0.7500 0.0000
0.0988 0.7597 0.8585
0.4012 0.2597 0.6608
0.5988 0.7403 0.3392
0.9012 0.2403 0.1415
```

Summary:
* space group: Ibam, No. 72
* E_form: -0.38 eV per atom

---

A plane-wave DFT calculation with PBE was carried out for an optimized crystal structure of TbNdH8Ir2.

```
TbNdH8Ir2
1.0
2.4322 1.4042 6.1395
-2.4322 1.4042 6.1395
0.0000 -2.8085 6.1395
Tb Nd H Ir
1 1 8 2
Direct
0.0000 0.0000 0.0000
0.5000 0.5000 0.5000
0.1108 0.4698 0.5927
0.1744 0.1744 0.1744
0.4073 0.8892 0.5302
0.4698 0.5927 0.1108
0.5302 0.4073 0.8892
0.5927 0.1108 0.4698
0.8256 0.8256 0.8256
0.8892 0.5302 0.4073
0.2622 0.2622 0.2622
0.7378 0.7378 0.7378
```

Summary:
* space group: R-3, No. 148
* energy: -4.769 eV per atom